a) Sc8Tl2In: relaxed, PBE-GGA.

Cell and atoms, written as POSCAR:
```
Sc8Tl2In
1.0
-2.3931 3.8331 7.1783
2.3931 -3.8331 7.1783
2.3931 3.8331 -7.1783
Sc Tl In
8 2 1
Cartesian
2.3931 2.1628 -2.1648 Sc
0.0000 0.0000 2.1779 Sc
0.0000 2.2516 0.0000 Sc
2.3931 2.1628 2.1648 Sc
0.0000 1.6703 5.0135 Sc
0.0000 5.4147 0.0000 Sc
0.0000 0.0000 12.1786 Sc
0.0000 1.6703 9.3430 Sc
2.3931 0.0000 4.3866 Tl
0.0000 3.8331 2.7916 Tl
2.3931 0.0000 0.0000 In
```

Output
D(E_F)	1.098	states/eV/atom

***

b) Sc8Tl2In: relaxed, PBE-GGA.

Cell and atoms, written as POSCAR:
```
Sc8Tl2In
1.0
4.1115 -7.0506 0.0000
4.1115 7.0506 0.0000
-2.2024 0.0000 4.6579
Sc Tl In
8 2 1
Cartesian
0.3538 1.5761 2.9601 Sc
4.1115 4.0558 0.0000 Sc
0.3538 -1.5761 2.9601 Sc
2.8836 0.0000 0.9545 Sc
3.1370 0.0000 3.7034 Sc
5.6668 1.5761 1.6978 Sc
4.1115 -4.0558 0.0000 Sc
5.6668 -1.5761 1.6978 Sc
3.0103 2.7533 2.3290 Tl
3.0103 -2.7533 2.3290 Tl
0.0000 0.0000 0.0000 In
```

Output
D(E_F)	1.444	states/eV/atom

***

It is b) that is the least stable of them.

***

a) Sc2TlIn: relaxed, PBE-GGA.

Cell and atoms, written as POSCAR:
```
Sc2TlIn
1.0
-1.6586 2.8045 6.0610
1.6586 -2.8045 6.0610
1.6586 2.8045 -6.0610
Sc Tl In
2 1 1
Cartesian
0.0000 0.0000 3.0312 Sc
0.0000 0.0000 9.0908 Sc
0.0000 0.0000 0.0000 Tl
0.0000 0.0000 6.0610 In
```

Output
D(E_F)	1.201	states/eV/atom

***

b) Sc2TlIn: relaxed, PBE-GGA.

Cell and atoms, written as POSCAR:
```
Sc2TlIn
1.0
4.8811 -1.7536 0.0000
4.8811 1.7536 0.0000
-1.3340 0.0000 5.7212
Sc Tl In
2 1 1
Cartesian
2.1043 0.0000 1.4078 Sc
6.3239 0.0000 4.3134 Sc
-0.6670 0.0000 2.8606 Tl
4.8811 0.0000 0.0000 In
```

Output
D(E_F)	1.068	states/eV/atom

***

c) Sc2TlIn: relaxed, PBE-GGA.

Cell and atoms, written as POSCAR:
```
Sc2TlIn
1.0
-1.8475 2.4061 5.3091
1.8475 -2.4061 5.3091
1.8475 2.4061 -5.3091
Sc Tl In
2 1 1
Cartesian
0.0000 0.0000 0.0000 Sc
0.0000 2.4061 2.6462 Sc
1.8475 0.0000 2.6968 Tl
0.0000 0.0000 5.2238 In
```

Output
D(E_F)	0.788	states/eV/atom

***

d) Sc2TlIn: relaxed, PBE-GGA.

Cell and atoms, written as POSCAR:
```
Sc2TlIn
1.0
1.7165 0.9910 9.5917
-1.7165 0.9910 9.5917
0.0000 -1.9821 9.5917
Sc Tl In
2 1 1
Cartesian
0.0000 0.0000 0.0000 Sc
0.0000 0.0000 4.8886 Sc
0.0000 0.0000 12.0330 Tl
0.0000 0.0000 16.8356 In
```

Output
D(E_F)	1.169	states/eV/atom

***

It is a) that is the least stable of them.

***

a) Sc2TlIn: relaxed, PBE-GGA.

Cell and atoms, written as POSCAR:
```
Sc2TlIn
1.0
3.2133 0.0000 0.0000
0.0000 4.3322 0.0000
0.0000 0.0000 6.5708
Sc Tl In
2 1 1
Cartesian
0.0000 0.0000 1.6301 Sc
0.0000 0.0000 4.9407 Sc
1.6067 2.1661 3.2854 Tl
1.6067 2.1661 0.0000 In
```

Output
D(E_F)	0.726	states/eV/atom

***

b) Sc2TlIn: relaxed, PBE-GGA.

Cell and atoms, written as POSCAR:
```
Sc2TlIn
1.0
0.0000 3.5848 3.5848
3.5848 0.0000 3.5848
3.5848 3.5848 0.0000
Sc Tl In
2 1 1
Cartesian
1.7924 1.7924 1.7924 Sc
5.3773 5.3773 5.3773 Sc
0.0000 0.0000 0.0000 Tl
3.5848 3.5848 3.5848 In
```

Output
D(E_F)	0.716	states/eV/atom

***

c) Sc2TlIn: relaxed, PBE-GGA.

Cell and atoms, written as POSCAR:
```
Sc2TlIn
1.0
-3.9622 3.9622 3.2443
3.9622 -3.9622 3.2443
3.9622 3.9622 -3.2443
Sc Tl In
4 2 2
Cartesian
1.9811 1.9621 -0.8111 Sc
2.0001 -1.9811 4.0553 Sc
1.9811 2.0001 2.4332 Sc
1.9621 5.9433 0.8111 Sc
0.0000 0.0000 0.0000 Tl
0.0000 3.9622 1.6221 Tl
3.9622 0.0000 1.6221 In
0.0000 0.0000 3.2443 In
```

Output
D(E_F)	1.228	states/eV/atom

***

d) Sc2TlIn: relaxed, PBE-GGA.

Cell and atoms, written as POSCAR:
```
Sc2TlIn
1.0
1.6769 0.9682 10.8973
-1.6769 0.9682 10.8973
0.0000 -1.9364 10.8973
Sc Tl In
2 1 1
Cartesian
0.0000 0.0000 3.0159 Sc
0.0000 0.0000 29.6760 Sc
0.0000 0.0000 16.3459 Tl
0.0000 0.0000 0.0000 In
```

Output
D(E_F)	2.242	states/eV/atom

***

It is d) that is the least stable of them.

***

a) Sc2TlIn: relaxed, PBE-GGA.

Cell and atoms, written as POSCAR:
```
Sc2TlIn
1.0
3.2387 0.0000 0.0000
0.0000 3.2387 0.0000
0.0000 0.0000 8.7503
Sc Tl In
2 1 1
Cartesian
0.0000 0.0000 2.1587 Sc
0.0000 0.0000 6.5916 Sc
1.6193 1.6193 4.3752 Tl
1.6193 1.6193 0.0000 In
```

Output
D(E_F)	0.750	states/eV/atom

***

b) Sc2TlIn: relaxed, PBE-GGA.

Cell and atoms, written as POSCAR:
```
Sc2TlIn
1.0
1.6953 0.9788 10.7127
-1.6953 0.9788 10.7127
0.0000 -1.9576 10.7127
Sc Tl In
2 1 1
Cartesian
0.0000 0.0000 3.0146 Sc
0.0000 0.0000 29.1234 Sc
0.0000 0.0000 0.0000 Tl
0.0000 0.0000 16.0690 In
```

Output
D(E_F)	1.152	states/eV/atom

***

It is b) that is the least stable of them.

***

a) Sc2TlIn: relaxed, PBE-GGA.

Cell and atoms, written as POSCAR:
```
Sc2TlIn
1.0
1.6852 0.9730 10.2484
-1.6852 0.9730 10.2484
0.0000 -1.9459 10.2484
Sc Tl In
2 1 1
Cartesian
0.0000 0.0000 0.0000 Sc
0.0000 0.0000 7.7685 Sc
0.0000 0.0000 23.0962 Tl
0.0000 0.0000 15.4691 In
```

Output
D(E_F)	1.173	states/eV/atom

***

b) Sc2TlIn: relaxed, PBE-GGA.

Cell and atoms, written as POSCAR:
```
Sc2TlIn
1.0
-2.3151 2.3151 4.2809
2.3151 -2.3151 4.2809
2.3151 2.3151 -4.2809
Sc Tl In
2 1 1
Cartesian
2.3151 0.0000 2.1405 Sc
0.0000 2.3151 2.1405 Sc
0.0000 0.0000 0.0000 Tl
0.0000 0.0000 4.2809 In
```

Output
D(E_F)	0.713	states/eV/atom

***

c) Sc2TlIn: relaxed, PBE-GGA.

Cell and atoms, written as POSCAR:
```
Sc2TlIn
1.0
0.0000 3.6685 3.6685
3.6685 0.0000 3.6685
3.6685 3.6685 0.0000
Sc Tl In
2 1 1
Cartesian
0.0000 0.0000 0.0000 Sc
1.8342 1.8342 1.8342 Sc
5.5027 5.5027 5.5027 Tl
3.6685 3.6685 3.6685 In
```

Output
D(E_F)	2.036	states/eV/atom

***

It is c) that is the least stable of them.

***

a) Sc2TlIn: relaxed, PBE-GGA.

Cell and atoms, written as POSCAR:
```
Sc2TlIn
1.0
2.4100 -2.4357 0.0000
2.4100 2.4357 0.0000
0.0000 0.0000 8.3578
Sc Tl In
2 1 1
Cartesian
0.0000 0.0000 0.0000 Sc
2.4100 0.0000 2.1164 Sc
0.0000 0.0000 4.1933 Tl
2.4100 0.0000 6.3733 In
```

Output
D(E_F)	0.840	states/eV/atom

***

b) Sc2TlIn: relaxed, PBE-GGA.

Cell and atoms, written as POSCAR:
```
Sc2TlIn
1.0
5.0979 0.0000 0.0000
0.0000 5.0979 0.0000
0.0000 0.0000 3.5433
Sc Tl In
2 1 1
Cartesian
0.0000 2.5490 0.0000 Sc
2.5490 0.0000 0.0000 Sc
0.0000 0.0000 1.7716 Tl
2.5490 2.5490 1.7716 In
```

Output
D(E_F)	0.707	states/eV/atom

***

c) Sc2TlIn: relaxed, PBE-GGA.

Cell and atoms, written as POSCAR:
```
Sc2TlIn
1.0
3.2494 -4.3518 0.0000
3.2494 4.3518 0.0000
0.0000 0.0000 3.2350
Sc Tl In
2 1 1
Cartesian
1.6247 2.1759 0.0000 Sc
1.6247 -2.1759 0.0000 Sc
0.0000 0.0000 1.6175 Tl
3.2494 0.0000 1.6175 In
```

Output
D(E_F)	0.688	states/eV/atom

***

d) Sc2TlIn: relaxed, PBE-GGA.

Cell and atoms, written as POSCAR:
```
Sc2TlIn
1.0
3.4896 0.0000 0.0000
0.0000 4.5055 0.0000
0.0000 0.0000 6.1780
Sc Tl In
2 1 1
Cartesian
0.0000 0.0000 0.0000 Sc
1.7448 2.2528 1.6869 Sc
0.0000 0.0000 3.0478 Tl
1.7448 2.2528 4.8850 In
```

Output
D(E_F)	1.213	states/eV/atom

***

It is a) that is the least stable of them.

***

a) Sc2Tl2In: relaxed, PBE-GGA.

Cell and atoms, written as POSCAR:
```
Sc2Tl2In
1.0
8.2888 0.0000 0.0000
0.0000 8.2888 0.0000
0.0000 0.0000 3.5597
Sc Tl In
4 4 2
Cartesian
1.4360 2.7084 0.0000 Sc
2.7084 6.8528 0.0000 Sc
5.5804 1.4360 0.0000 Sc
6.8528 5.5804 0.0000 Sc
1.0772 5.2216 1.7798 Tl
3.0671 1.0772 1.7798 Tl
5.2216 7.2115 1.7798 Tl
7.2115 3.0671 1.7798 Tl
0.0000 0.0000 1.7798 In
4.1444 4.1444 1.7798 In
```

Output
D(E_F)	0.388	states/eV/atom

***

b) Sc2Tl2In: relaxed, PBE-GGA.

Cell and atoms, written as POSCAR:
```
Sc2Tl2In
1.0
7.8818 0.0000 0.0000
0.0000 7.8818 0.0000
0.0000 0.0000 4.1006
Sc Tl In
4 4 2
Cartesian
1.2118 2.7291 0.0000 Sc
2.7291 6.6700 0.0000 Sc
5.1527 1.2118 0.0000 Sc
6.6700 5.1527 0.0000 Sc
1.1906 5.1315 2.0503 Tl
2.7503 1.1906 2.0503 Tl
5.1315 6.6912 2.0503 Tl
6.6912 2.7503 2.0503 Tl
0.0000 0.0000 0.0000 In
3.9409 3.9409 0.0000 In
```

Output
D(E_F)	1.001	states/eV/atom

***

It is b) that is the least stable of them.

***

a) Sc4TlIn: relaxed, PBE-GGA.

Cell and atoms, written as POSCAR:
```
Sc4TlIn
1.0
0.0000 4.1914 4.1914
4.1914 0.0000 4.1914
4.1914 4.1914 0.0000
Sc Tl In
4 1 1
Cartesian
1.0505 1.0505 1.0505 Sc
3.1410 3.1410 1.0505 Sc
3.1410 1.0505 3.1410 Sc
1.0505 3.1410 3.1410 Sc
6.2871 6.2871 6.2871 Tl
4.1914 4.1914 4.1914 In
```

Output
D(E_F)	1.103	states/eV/atom

***

b) Sc4TlIn: relaxed, PBE-GGA.

Cell and atoms, written as POSCAR:
```
Sc4TlIn
1.0
3.3034 0.0000 0.0000
0.0000 5.2483 0.0000
0.0000 0.0000 8.6313
Sc Tl In
4 1 1
Cartesian
0.0000 0.0000 1.6625 Sc
0.0000 0.0000 6.9688 Sc
1.6517 2.6242 2.6257 Sc
1.6517 2.6242 6.0056 Sc
1.6517 0.0000 4.3156 Tl
0.0000 2.6242 0.0000 In
```

Output
D(E_F)	1.456	states/eV/atom

***

It is a) that is the least stable of them.

***

a) Sc4Tl2In: relaxed, PBE-GGA.

Cell and atoms, written as POSCAR:
```
Sc4Tl2In
1.0
2.4843 1.4343 8.1750
-2.4843 1.4343 8.1750
0.0000 -2.8687 8.1750
Sc Tl In
4 2 1
Cartesian
0.0000 0.0000 2.9559 Sc
0.0000 0.0000 9.1543 Sc
0.0000 0.0000 15.3707 Sc
0.0000 0.0000 21.5691 Sc
0.0000 0.0000 6.2421 Tl
0.0000 0.0000 18.2829 Tl
0.0000 0.0000 12.2625 In
```

Output
D(E_F)	1.353	states/eV/atom

***

b) Sc4Tl2In: relaxed, PBE-GGA.

Cell and atoms, written as POSCAR:
```
Sc4Tl2In
1.0
-2.7410 2.7410 6.1551
2.7410 -2.7410 6.1551
2.7410 2.7410 -6.1551
Sc Tl In
4 2 1
Cartesian
2.7410 0.0000 0.0000 Sc
2.7410 0.0000 3.0776 Sc
0.0000 2.7410 0.0000 Sc
0.0000 2.7410 3.0776 Sc
0.0000 0.0000 1.6326 Tl
0.0000 0.0000 10.6777 Tl
0.0000 0.0000 6.1551 In
```

Output
D(E_F)	1.185	states/eV/atom

***

It is b) that is the least stable of them.

***

a) Sc4TlIn2: relaxed, PBE-GGA.

Cell and atoms, written as POSCAR:
```
Sc4TlIn2
1.0
2.4843 1.4343 8.1393
-2.4843 1.4343 8.1393
0.0000 -2.8686 8.1393
Sc Tl In
4 1 2
Cartesian
0.0000 0.0000 2.8924 Sc
0.0000 0.0000 9.0766 Sc
0.0000 0.0000 15.3414 Sc
0.0000 0.0000 21.5256 Sc
0.0000 0.0000 12.2090 Tl
0.0000 0.0000 6.1657 In
0.0000 0.0000 18.2524 In
```

Output
D(E_F)	1.257	states/eV/atom

***

b) Sc4TlIn2: relaxed, PBE-GGA.

Cell and atoms, written as POSCAR:
```
Sc4TlIn2
1.0
-2.7431 2.7431 6.1501
2.7431 -2.7431 6.1501
2.7431 2.7431 -6.1501
Sc Tl In
4 1 2
Cartesian
2.7431 0.0000 0.0000 Sc
2.7431 0.0000 3.0750 Sc
0.0000 2.7431 0.0000 Sc
0.0000 2.7431 3.0750 Sc
0.0000 0.0000 0.0000 Tl
0.0000 0.0000 4.5762 In
0.0000 0.0000 7.7239 In
```

Output
D(E_F)	1.133	states/eV/atom

***

It is b) that is the least stable of them.